Record 1
KGeI3 | GGA-PBE | relaxed

Output
The total energy comes out at -2.848 eV per atom. The spin magnetization is 0.0 μB/cell. The symmetry is Pnma.

Cell lengths 10.511, 4.482, 16.652 Å; angles 90.00, 90.00, 90.00 degrees
Fractional coordinates of all 20 atoms:
K  0.062  0.250  0.173
K  0.438  0.750  0.673
K  0.562  0.250  0.327
K  0.938  0.750  0.827
Ge  0.163  0.750  0.441
Ge  0.337  0.250  0.941
Ge  0.663  0.750  0.059
Ge  0.837  0.250  0.559
I  0.015  0.750  0.610
I  0.166  0.750  0.006
I  0.215  0.250  0.786
I  0.285  0.750  0.286
I  0.334  0.250  0.506
I  0.485  0.250  0.110
I  0.515  0.750  0.890
I  0.666  0.750  0.494
I  0.715  0.250  0.714
I  0.785  0.750  0.214
I  0.834  0.250  0.994
I  0.985  0.250  0.390

Record 2
KGe2I | GGA-PBE | relaxed

Output
The total energy comes out at -2.452 eV per atom. The distance to the lowest polymorph of the same formula comes out at 0.864 eV/f.u. The spin magnetization is 0.0 μB/cell. The symmetry is Fm-3m.

Cell lengths 5.479, 5.479, 5.479 Å; angles 60.00, 60.00, 60.00 degrees
Fractional coordinates of all 4 atoms:
K  0.000  0.000  0.000
Ge  0.250  0.250  0.250
Ge  0.750  0.750  0.750
I  0.500  0.500  0.500

Record 3
KLa2GeI | GGA-PBE | relaxed

Output
The total energy comes out at -2.726 eV per atom. The spin magnetization is 0.0 μB/cell. The symmetry is P4/mmm.

Cell lengths 5.979, 5.979, 5.193 Å; angles 90.00, 90.00, 90.00 degrees
Fractional coordinates of all 5 atoms:
K  0.000  0.000  0.000
La  0.000  0.500  0.000
La  0.500  0.000  0.000
Ge  0.000  0.000  0.500
I  0.500  0.500  0.500

| no. | density of states at the Fermi level (states/eV per atom) |
| --- | --- |
| 1 | 0.00 |
| 2 | 2.39 |
| 3 | 0.92 |